# 1
Below is an optimized crystal structure of Cs2Hg2BiSe4, with properties calculated at the PBE level.

Output
- E_form (uncorrected): -0.571 eV per atom
- N(E_F): 0.163 states/eV per atom
- Density: 6.4 g/cm3
- Crystal system: monoclinic

Structure (extended XYZ):
```
9
Lattice="8.8532 -2.2309 0.0000 8.8532 2.2309 0.0000 -2.8367 0.0000 7.8809" Properties=species:S:1:pos:R:3 pbc="T T T"
Cs 2.2207 0.0000 0.3978
Cs 12.6490 0.0000 7.4832
Hg 4.2757 0.0000 4.3840
Hg 10.5940 0.0000 3.4970
Bi -1.4184 0.0000 3.9405
Se 1.5946 0.0000 5.2207
Se 6.5954 0.0000 5.7699
Se 8.2743 0.0000 2.1110
Se 13.2750 0.0000 2.6602
```

# 2
Below is an optimized crystal structure of LiAgSe2, with properties calculated at the PBE level.

Output
- E_form (uncorrected): -0.338 eV per atom
- N(E_F): 0.829 states/eV per atom
- ΔE to the lowest computed polymorph: 91 meV/atom
- Density: 5.7 g/cm3
- Crystal system: tetragonal

Structure (extended XYZ):
```
4
Lattice="3.8262 0.0000 0.0000 0.0000 3.8262 0.0000 0.0000 0.0000 5.4264" Properties=species:S:1:pos:R:3 pbc="T T T"
Li 0.0000 0.0000 0.0000
Ag 1.9131 1.9131 2.7132
Se 0.0000 0.0000 2.7132
Se 1.9131 1.9131 0.0000
```

# 3
Below is an optimized crystal structure of Y2Ga12Ir, with properties calculated at the PBE level.

Output
- N(E_F): 0.287 states/eV per atom
- Density: 7.0 g/cm3
- Formation energy from the elements: -0.3904 eV per atom
- Crystal system: tetragonal

Structure (extended XYZ):
```
30
Lattice="6.0854 0.0000 0.0000 0.0000 6.0854 0.0000 0.0000 0.0000 15.5344" Properties=species:S:1:pos:R:3 pbc="T T T"
Y 1.5213 4.5640 3.6906
Y 1.5213 4.5640 11.8438
Y 4.5640 1.5213 3.6906
Y 4.5640 1.5213 11.8438
Ga 6.0848 0.0005 1.3700
Ga 0.0005 6.0848 14.1645
Ga 0.0005 3.0432 1.3700
Ga 6.0848 3.0422 14.1645
Ga 0.5137 3.5564 6.6991
Ga 0.5137 5.5717 8.8354
Ga 1.5213 1.5213 2.9670
Ga 1.5213 1.5213 5.4026
Ga 1.5213 1.5213 10.1318
Ga 1.5213 1.5213 12.5675
Ga 2.5290 3.5564 8.8354
Ga 2.5290 5.5717 6.6991
Ga 3.0422 6.0848 1.3700
Ga 3.0432 0.0005 14.1645
Ga 3.0432 3.0422 1.3700
Ga 3.0422 3.0432 14.1645
Ga 3.5564 0.5137 8.8354
Ga 3.5564 2.5290 6.6991
Ga 4.5640 4.5640 2.9670
Ga 4.5640 4.5640 5.4026
Ga 4.5640 4.5640 10.1318
Ga 4.5640 4.5640 12.5675
Ga 5.5717 0.5137 6.6991
Ga 5.5717 2.5290 8.8354
Ir 1.5213 4.5640 0.0000
Ir 4.5640 1.5213 0.0000
```

# 4
Below is an optimized crystal structure of NaPrTlCu, with properties calculated at the PBE level.

Output
- N(E_F): 0.807 states/eV per atom
- Density: 7.1 g/cm3
- Formation energy from the elements: -0.0447 eV per atom
- Crystal system: cubic

Structure (extended XYZ):
```
4
Lattice="0.0000 3.6932 3.6932 3.6932 0.0000 3.6932 3.6932 3.6932 0.0000" Properties=species:S:1:pos:R:3 pbc="T T T"
Na 0.0000 0.0000 0.0000
Pr 3.6932 3.6932 3.6932
Tl 5.5398 5.5398 5.5398
Cu 1.8466 1.8466 1.8466
```

# 5
Below is an optimized crystal structure of Pm2CF2, with properties calculated at the PBE level.

Output
- E_form (uncorrected): -2.199 eV per atom
- N(E_F): 0.034 states/eV per atom
- ΔE to the lowest computed polymorph: 0 meV/atom
- Density: 6.8 g/cm3
- Crystal system: monoclinic

Structure (extended XYZ):
```
20
Lattice="10.5155 0.0000 0.0000 0.0000 6.0253 0.0000 -0.0028 0.0000 5.2622" Properties=species:S:1:pos:R:3 pbc="T T T"
Pm 1.1301 0.2292 1.3155
Pm 1.1287 2.7834 3.9466
Pm 3.7173 3.1188 1.3100
Pm 3.7159 5.9191 3.9411
Pm 6.7967 0.1061 1.3211
Pm 6.7954 2.9065 3.9522
Pm 9.3839 3.2418 1.3156
Pm 9.3826 5.7961 3.9467
C 1.4139 0.2778 3.9485
C 1.4153 2.7349 1.3174
C 9.0974 3.2904 3.9448
C 9.0988 5.7475 1.3137
F 3.4456 3.5753 3.9585
F 3.4470 5.4626 1.3274
F 4.8634 1.4998 0.0007
F 4.8620 1.5129 2.6318
F 5.6507 4.5124 2.6304
F 5.6493 4.5255 5.2615
F 7.0657 0.5626 3.9348
F 7.0671 2.4500 1.3037
```

# 6
Below is an optimized crystal structure of PmScNi2, with properties calculated at the PBE level.

Output
- N(E_F): 0.775 states/eV per atom
- ΔE to the lowest computed polymorph: 35 meV/atom
- Density: 6.6 g/cm3
- Formation energy from the elements: -0.3478 eV per atom
- Crystal system: trigonal

Structure (extended XYZ):
```
4
Lattice="2.2147 1.2787 4.5398 -2.2147 1.2787 4.5398 0.0000 -2.5573 4.5398" Properties=species:S:1:pos:R:3 pbc="T T T"
Pm 0.0000 0.0000 0.0000
Sc 0.0000 0.0000 6.8096
Ni 0.0000 0.0000 2.9136
Ni 0.0000 0.0000 10.7057
```

# 7
Below is an optimized crystal structure of Er4Tm5Zr, with properties calculated at the PBE level.

Output
- N(E_F): 1.357 states/eV per atom
- ΔE to the lowest computed polymorph: 0 meV/atom
- Density: 9.1 g/cm3
- Formation energy from the elements: 0.0449 eV per atom
- Crystal system: triclinic

Structure (extended XYZ):
```
10
Lattice="3.4606 0.0000 0.0000 1.7248 9.0070 0.0000 0.0149 2.6548 9.4039" Properties=species:S:1:pos:R:3 pbc="T T T"
Er 0.8666 3.5232 2.7246
Er 0.8772 4.9117 7.5848
Er 4.3231 6.7501 1.8191
Er 4.3338 8.1386 6.6792
Tm 2.5963 9.1620 3.7622
Tm 2.6036 10.4587 8.4749
Tm 2.6002 5.8309 4.7019
Tm 2.5968 1.2031 0.9289
Tm 2.6040 2.4998 5.6417
Zr 2.5927 4.5035 0.0000
```

# 8
Below is an optimized crystal structure of CeSmScGa, with properties calculated at the PBE level.

Output
- N(E_F): 2.079 states/eV per atom
- Density: 6.5 g/cm3
- Formation energy from the elements: -0.1152 eV per atom
- Crystal system: cubic

Structure (extended XYZ):
```
4
Lattice="0.0000 3.7218 3.7218 3.7218 0.0000 3.7218 3.7218 3.7218 0.0000" Properties=species:S:1:pos:R:3 pbc="T T T"
Ce 0.0000 0.0000 0.0000
Sm 3.7218 3.7218 3.7218
Sc 1.8609 1.8609 1.8609
Ga 5.5827 5.5827 5.5827
```

# 9
Below is an optimized crystal structure of Nb3VMo2, with properties calculated at the PBE level.

Output
- N(E_F): 0.897 states/eV per atom
- ΔE to the lowest computed polymorph: 0 meV/atom
- Density: 8.5 g/cm3
- Formation energy from the elements: 0.1107 eV per atom
- Crystal system: orthorhombic

Structure (extended XYZ):
```
12
Lattice="4.7123 0.0000 0.0000 0.0000 8.1821 0.0000 0.0000 0.0000 5.2737" Properties=species:S:1:pos:R:3 pbc="T T T"
Nb 0.0000 0.2498 0.0000
Nb 0.0000 7.9322 2.6368
Nb 2.3562 1.6533 1.2774
Nb 2.3562 3.7457 3.9094
Nb 2.3562 4.4364 1.2726
Nb 2.3562 6.5288 3.9143
V 0.0000 3.0290 0.0505
V 0.0000 5.1531 2.6874
Mo 0.0000 2.5235 2.6578
Mo 0.0000 5.6586 0.0210
Mo 2.3562 1.0939 3.9229
Mo 2.3562 7.0882 1.2861
```

# 10
Below is an optimized crystal structure of Li2PmPrTl4, with properties calculated at the PBE level.

Output
- N(E_F): 0.179 states/eV per atom
- Density: 8.9 g/cm3
- Formation energy from the elements: -0.3381 eV per atom
- Crystal system: trigonal

Structure (extended XYZ):
```
8
Lattice="2.6475 1.5286 8.6135 -2.6475 1.5286 8.6135 0.0000 -3.0571 8.6135" Properties=species:S:1:pos:R:3 pbc="T T T"
Li 0.0000 0.0000 6.4661
Li 0.0000 0.0000 19.3745
Pm 0.0000 0.0000 0.0000
Pr 0.0000 0.0000 12.9203
Tl 0.0000 0.0000 3.2156
Tl 0.0000 0.0000 9.6560
Tl 0.0000 0.0000 16.1846
Tl 0.0000 0.0000 22.6250
```

# 11
Below is an optimized crystal structure of TlGe3B, with properties calculated at the PBE level.

Output
- N(E_F): 0.471 states/eV per atom
- ΔE to the lowest computed polymorph: 0 meV/atom
- Density: 7.5 g/cm3
- Formation energy from the elements: 0.6407 eV per atom
- Crystal system: cubic

Structure (extended XYZ):
```
5
Lattice="4.5715 0.0000 0.0000 0.0000 4.5715 0.0000 0.0000 0.0000 4.5715" Properties=species:S:1:pos:R:3 pbc="T T T"
Tl 0.0000 0.0000 0.0000
Ge 0.0000 2.2858 2.2858
Ge 2.2858 0.0000 2.2858
Ge 2.2858 2.2858 0.0000
B 2.2858 2.2858 2.2858
```

# 12
Below is an optimized crystal structure of Nd6Sn2Os, with properties calculated at the PBE level.

Output
- N(E_F): 1.108 states/eV per atom
- Density: 7.9 g/cm3
- Formation energy from the elements: -0.4314 eV per atom
- Crystal system: orthorhombic

Structure (extended XYZ):
```
9
Lattice="4.4216 0.0000 0.0000 0.0000 7.2504 4.2127 0.0000 -7.2504 4.2127" Properties=species:S:1:pos:R:3 pbc="T T T"
Nd 0.0000 0.0000 0.0000
Nd 0.0000 -1.7061 5.3643
Nd 0.0000 1.7061 5.3643
Nd 2.2108 -4.3292 3.8549
Nd 2.2108 0.0000 2.9438
Nd 2.2108 4.3292 3.8549
Sn 0.0000 -2.4334 2.1638
Sn 0.0000 2.4334 2.1638
Os 2.2108 0.0000 6.4671
```

# 13
Below is an optimized crystal structure of SrCaMgHg, with properties calculated at the PBE level.

Output
- N(E_F): 0.878 states/eV per atom
- Density: 4.6 g/cm3
- Formation energy from the elements: -0.3015 eV per atom
- Crystal system: tetragonal

Structure (extended XYZ):
```
4
Lattice="3.8835 0.0000 0.0000 0.0000 3.8835 0.0000 0.0000 0.0000 8.3626" Properties=species:S:1:pos:R:3 pbc="T T T"
Sr 0.0000 0.0000 0.0000
Ca 0.0000 0.0000 3.8603
Mg 1.9418 1.9418 5.9765
Hg 1.9418 1.9418 2.0835
```

# 14
Below is an optimized crystal structure of Pr2YPuSe4, with properties calculated at the PBE level.

Output
- E_form (uncorrected): -1.764 eV per atom
- N(E_F): 1.239 states/eV per atom
- Density: 7.4 g/cm3
- Crystal system: monoclinic

Structure (extended XYZ):
```
8
Lattice="7.2432 0.0000 0.0000 0.0000 4.1619 0.0000 -2.3828 0.0000 6.9017" Properties=species:S:1:pos:R:3 pbc="T T T"
Pr 0.0000 0.0000 0.0000
Pr 3.6216 2.0810 0.0000
Y -1.1914 2.0810 3.4508
Pu 2.4302 0.0000 3.4508
Se 0.0083 0.0000 5.0811
Se 1.2018 2.0810 1.8100
Se 3.6585 2.0810 5.0917
Se 4.8520 0.0000 1.8205
```

# 15
Below is an optimized crystal structure of Tl6CdHg5, with properties calculated at the PBE level.

Output
- N(E_F): 0.341 states/eV per atom
- Density: 11.3 g/cm3
- Formation energy from the elements: -0.0041 eV per atom
- Crystal system: monoclinic

Structure (extended XYZ):
```
12
Lattice="5.0304 0.0000 0.0000 0.0000 8.5370 0.0000 -2.4153 0.0000 8.0257" Properties=species:S:1:pos:R:3 pbc="T T T"
Tl 0.0000 2.1098 0.0000
Tl 0.0000 6.4272 0.0000
Tl 0.0547 2.1529 5.3450
Tl 0.0547 6.3841 5.3450
Tl 2.5604 2.1529 2.6807
Tl 2.5604 6.3841 2.6807
Cd 2.5152 4.2685 0.0000
Hg 0.0483 4.2685 2.6056
Hg 0.0476 0.0000 2.6785
Hg 2.5152 0.0000 0.0000
Hg 2.5675 0.0000 5.3472
Hg 2.5668 4.2685 5.4202
```

# 16
Below is an optimized crystal structure of Hf2Zn3Au, with properties calculated at the PBE level.

Output
- N(E_F): 0.858 states/eV per atom
- ΔE to the lowest computed polymorph: 0 meV/atom
- Density: 11.9 g/cm3
- Formation energy from the elements: -0.2969 eV per atom
- Crystal system: orthorhombic

Structure (extended XYZ):
```
12
Lattice="0.0000 4.4576 7.6973 3.0431 0.0000 7.6973 3.0431 4.4576 0.0000" Properties=species:S:1:pos:R:3 pbc="T T T"
Hf 4.5754 4.4576 7.6973
Hf 1.5215 2.2288 3.8486
Hf 4.5646 6.6864 11.5459
Hf 1.5108 4.4576 7.6973
Zn 3.0431 2.2713 6.4438
Zn 3.0431 2.2713 8.9508
Zn 3.0431 4.4576 5.1822
Zn 3.0431 4.4576 10.2123
Zn 3.0431 6.6439 6.4438
Zn 3.0431 6.6439 8.9508
Au 3.0431 4.4576 2.5612
Au 3.0431 4.4576 12.8333
```

# 17
Below is an optimized crystal structure of AlSi2I2, with properties calculated at the PBE level.

Output
- E_form (uncorrected): 0.404 eV per atom
- N(E_F): 0.368 states/eV per atom
- ΔE to the lowest computed polymorph: 0 meV/atom
- Density: 4.3 g/cm3
- Crystal system: tetragonal

Structure (extended XYZ):
```
5
Lattice="-1.8602 1.8602 9.4329 1.8602 -1.8602 9.4329 1.8602 1.8602 -9.4329" Properties=species:S:1:pos:R:3 pbc="T T T"
Al 0.0000 0.0000 0.0000
Si 1.8602 0.0000 4.7164
Si 0.0000 1.8602 4.7164
I 0.0000 0.0000 7.3969
I 0.0000 0.0000 11.4689
```

# 18
Below is an optimized crystal structure of ScFe2AgGe, with properties calculated at the PBE level.

Output
- N(E_F): 1.230 states/eV per atom
- Density: 5.4 g/cm3
- Formation energy from the elements: 1.2979 eV per atom
- Crystal system: tetragonal

Structure (extended XYZ):
```
5
Lattice="4.4710 0.0000 0.0000 0.0000 4.4710 0.0000 0.0000 0.0000 5.1405" Properties=species:S:1:pos:R:3 pbc="T T T"
Sc 0.0000 0.0000 0.0000
Fe 0.0000 2.2355 0.0000
Fe 2.2355 0.0000 0.0000
Ag 0.0000 0.0000 2.5703
Ge 2.2355 2.2355 2.5703
```

# 19
Below is an optimized crystal structure of CsNdTl2, with properties calculated at the PBE level.

Output
- N(E_F): 0.786 states/eV per atom
- ΔE to the lowest computed polymorph: 0 meV/atom
- Density: 7.5 g/cm3
- Formation energy from the elements: -0.1912 eV per atom
- Crystal system: tetragonal

Structure (extended XYZ):
```
4
Lattice="4.0440 0.0000 0.0000 0.0000 4.0440 0.0000 0.0000 0.0000 9.2619" Properties=species:S:1:pos:R:3 pbc="T T T"
Cs 0.0000 0.0000 0.0000
Nd 0.0000 0.0000 4.6309
Tl 2.0220 2.0220 2.8689
Tl 2.0220 2.0220 6.3930
```

# 20
Below is an optimized crystal structure of PaBeTc2, with properties calculated at the PBE level.

Output
- N(E_F): 1.233 states/eV per atom
- ΔE to the lowest computed polymorph: 180 meV/atom
- Density: 11.3 g/cm3
- Formation energy from the elements: 0.0777 eV per atom
- Crystal system: tetragonal

Structure (extended XYZ):
```
4
Lattice="3.2985 0.0000 0.0000 0.0000 3.2985 0.0000 0.0000 0.0000 5.8903" Properties=species:S:1:pos:R:3 pbc="T T T"
Pa 0.0000 0.0000 0.0000
Be 0.0000 0.0000 2.9451
Tc 1.6492 1.6492 1.6243
Tc 1.6492 1.6492 4.2660
```

# 21
Below is an optimized crystal structure of PbIOF2, with properties calculated at the PBE level.

Output
- E_form (uncorrected): -0.878 eV per atom
- N(E_F): 0.658 states/eV per atom
- ΔE to the lowest computed polymorph: 0 meV/atom
- Density: 6.7 g/cm3
- Crystal system: tetragonal

Structure (extended XYZ):
```
5
Lattice="4.6654 0.0000 0.0000 0.0000 4.6654 0.0000 0.0000 0.0000 4.4055" Properties=species:S:1:pos:R:3 pbc="T T T"
Pb 0.0000 0.0000 0.0000
I 2.3327 2.3327 2.2028
O 0.0000 0.0000 2.2028
F 0.0000 2.3327 0.0000
F 2.3327 0.0000 0.0000
```

# 22
Below is an optimized crystal structure of LiCu4Pd3, with properties calculated at the PBE level.

Output
- N(E_F): 0.294 states/eV per atom
- ΔE to the lowest computed polymorph: 0 meV/atom
- Density: 8.5 g/cm3
- Formation energy from the elements: -0.0635 eV per atom
- Crystal system: triclinic

Structure (extended XYZ):
```
8
Lattice="2.7070 0.0000 0.0000 -0.0053 3.9911 0.0000 -1.2695 -1.7457 10.4382" Properties=species:S:1:pos:R:3 pbc="T T T"
Li 0.0000 0.0000 0.0000
Cu -0.0013 2.1201 2.1647
Cu 0.0202 2.1228 4.6286
Cu 1.4119 0.1226 5.8095
Cu 1.4334 0.1252 8.2735
Pd 0.0717 2.1197 7.1935
Pd 1.3508 1.9956 0.0000
Pd 1.3604 0.1257 3.2447
```

# 23
Below is an optimized crystal structure of Ba3AlFe, with properties calculated at the PBE level.

Output
- N(E_F): 1.666 states/eV per atom
- Density: 4.4 g/cm3
- Formation energy from the elements: 0.5320 eV per atom
- Crystal system: cubic

Structure (extended XYZ):
```
5
Lattice="5.7327 0.0000 0.0000 0.0000 5.7327 0.0000 0.0000 0.0000 5.7327" Properties=species:S:1:pos:R:3 pbc="T T T"
Ba 0.0000 0.0000 2.8663
Ba 0.0000 2.8663 0.0000
Ba 2.8663 0.0000 0.0000
Al 2.8663 2.8663 2.8663
Fe 0.0000 0.0000 0.0000
```

# 24
Below is an optimized crystal structure of HfCoSi2, with properties calculated at the PBE level.

Output
- E_form (uncorrected): -0.633 eV per atom
- N(E_F): 0.645 states/eV per atom
- Density: 8.5 g/cm3
- Crystal system: trigonal

Structure (extended XYZ):
```
4
Lattice="1.9080 1.1016 4.5625 -1.9080 1.1016 4.5625 0.0000 -2.2032 4.5625" Properties=species:S:1:pos:R:3 pbc="T T T"
Hf 0.0000 0.0000 0.0000
Co 0.0000 0.0000 6.8437
Si 0.0000 0.0000 2.9384
Si 0.0000 0.0000 10.7490
```